Entry from the Alexandria database: crystalline Sc3Au at its relaxed geometry (PBE).

Calculated values
- DOS at the Fermi energy: 1.50 states/eV/atom
- Raw total energy: -0.215 Ha/atom
- Crystal system: hexagonal

abc: 3.438 3.438 9.123
angles: 90.00 90.00 120.00
Positions (direct):
Sc (0.000, 0.000, 0.000)
Sc (0.333, 0.667, 0.279)
Sc (0.333, 0.667, 0.721)
Au (0.000, 0.000, 0.500)

---

Entry from the Alexandria database: crystalline Sc2AuSe at its relaxed geometry (PBE).

Calculated values
- DOS at the Fermi energy: 0.53 states/eV/atom
- Raw formation energy: -1124 meV/atom
- Crystal system: monoclinic

abc: 3.737 3.737 7.353
angles: 104.75 104.75 60.09
Positions (direct):
Sc (0.247, 0.247, 0.242)
Sc (0.753, 0.753, 0.758)
Au (0.000, 0.000, 0.500)
Se (0.500, 0.500, 0.000)

---

Entry from the Alexandria database: crystalline Sc2AuSe at its relaxed geometry (PBE).

Calculated values
- DOS at the Fermi energy: 0.74 states/eV/atom
- Raw formation energy: -595 meV/atom
- Crystal system: trigonal

abc: 8.654 8.654 8.654
angles: 24.46 24.46 24.46
Positions (direct):
Sc (0.000, 0.000, 0.000)
Sc (0.224, 0.224, 0.224)
Au (0.737, 0.737, 0.737)
Se (0.496, 0.496, 0.496)

---

Entry from the Alexandria database: crystalline Sc4AuSe at its relaxed geometry (PBE).

Calculated values
- DOS at the Fermi energy: 1.44 states/eV/atom
- Raw formation energy: 92 meV/atom
- Crystal system: cubic

abc: 5.731 5.731 5.731
angles: 60.00 60.00 60.00
Positions (direct):
Sc (0.125, 0.125, 0.125)
Sc (0.125, 0.125, 0.624)
Sc (0.125, 0.624, 0.125)
Sc (0.624, 0.125, 0.125)
Au (0.500, 0.500, 0.500)
Se (0.750, 0.750, 0.750)

---

Entry from the Alexandria database: crystalline Sc2AuSe at its relaxed geometry (PBE).

Calculated values
- DOS at the Fermi energy: 0.98 states/eV/atom
- Raw formation energy: -916 meV/atom
- Crystal system: monoclinic

abc: 4.823 4.823 3.397
angles: 90.21 90.21 91.09
Positions (direct):
Sc (0.000, 0.500, 0.000)
Sc (0.500, 0.000, 0.000)
Au (0.000, 0.000, 0.500)
Se (0.500, 0.500, 0.500)

---

Entry from the Alexandria database: crystalline Sc2AuSe at its relaxed geometry (PBE).

Calculated values
- DOS at the Fermi energy: 1.61 states/eV/atom
- Raw formation energy: -205 meV/atom
- Crystal system: cubic

abc: 4.906 4.906 4.906
angles: 60.00 60.00 60.00
Positions (direct):
Sc (0.000, 0.000, 0.000)
Sc (0.250, 0.250, 0.250)
Au (0.750, 0.750, 0.750)
Se (0.500, 0.500, 0.500)

---

Entry from the Alexandria database: crystalline Sc2AuSe at its relaxed geometry (PBE).

Calculated values
- DOS at the Fermi energy: 0.59 states/eV/atom
- Raw formation energy: -834 meV/atom
- Crystal system: tetragonal

abc: 6.192 6.192 6.192
angles: 109.47 109.47 109.47
Positions (direct):
Sc (0.120, 0.625, 0.995)
Sc (0.375, 0.370, 0.495)
Sc (0.630, 0.125, 0.005)
Sc (0.875, 0.880, 0.505)
Au (0.250, 0.750, 0.500)
Au (0.500, 0.500, 0.000)
Se (0.000, 0.000, 0.000)
Se (0.750, 0.250, 0.500)

---

Entry from the Alexandria database: crystalline Sc4AuSe3 at its relaxed geometry (PBE).

Calculated values
- DOS at the Fermi energy: 0.63 states/eV/atom
- Raw formation energy: -1372 meV/atom
- Crystal system: monoclinic

abc: 6.861 7.789 6.646
angles: 90.00 109.42 90.00
Positions (direct):
Sc (0.244, 0.129, 0.499)
Sc (0.244, 0.871, 0.999)
Sc (0.255, 0.372, 0.000)
Sc (0.255, 0.628, 0.500)
Sc (0.745, 0.372, 0.500)
Sc (0.745, 0.628, 0.000)
Sc (0.756, 0.129, 0.001)
Sc (0.756, 0.871, 0.501)
Au (0.500, 0.117, 0.250)
Au (0.500, 0.883, 0.750)
Se (0.000, 0.126, 0.750)
Se (0.000, 0.382, 0.250)
Se (0.000, 0.618, 0.750)
Se (0.000, 0.874, 0.250)
Se (0.500, 0.377, 0.750)
Se (0.500, 0.623, 0.250)

---

Entry from the Alexandria database: crystalline Sc2AuSe at its relaxed geometry (PBE).

Calculated values
- DOS at the Fermi energy: 0.82 states/eV/atom
- Raw formation energy: -991 meV/atom
- Crystal system: orthorhombic

abc: 7.358 7.358 7.358
angles: 152.66 151.66 39.79
Positions (direct):
Sc (0.000, 0.000, 0.000)
Sc (0.748, 0.248, 0.500)
Au (0.411, 0.411, 0.000)
Se (0.161, 0.661, 0.500)

---

Entry from the Alexandria database: crystalline ScAu3Se at its relaxed geometry (PBE).

Calculated values
- DOS at the Fermi energy: 0.65 states/eV/atom
- Raw formation energy: 339 meV/atom
- Energy above the most stable polymorph in this dataset: 0 meV/atom
- Crystal system: cubic

abc: 4.961 4.961 4.961
angles: 90.00 90.00 90.00
Positions (direct):
Sc (0.000, 0.000, 0.000)
Au (0.000, 0.500, 0.500)
Au (0.500, 0.000, 0.500)
Au (0.500, 0.500, 0.000)
Se (0.500, 0.500, 0.500)

---

Entry from the Alexandria database: crystalline Sc6AuSe5 at its relaxed geometry (PBE).

Calculated values
- DOS at the Fermi energy: 0.42 states/eV/atom
- Raw formation energy: -1466 meV/atom
- Crystal system: monoclinic

abc: 6.741 6.741 6.735
angles: 99.61 99.61 120.12
Positions (direct):
Sc (0.081, 0.416, 0.248)
Sc (0.250, 0.250, 0.751)
Sc (0.416, 0.081, 0.248)
Sc (0.584, 0.919, 0.752)
Sc (0.750, 0.750, 0.249)
Sc (0.919, 0.584, 0.752)
Au (0.000, 0.000, 0.000)
Se (0.168, 0.832, 0.500)
Se (0.335, 0.665, 0.000)
Se (0.500, 0.500, 0.500)
Se (0.665, 0.335, 0.000)
Se (0.832, 0.168, 0.500)

---

Entry from the Alexandria database: crystalline Sc2AuSe at its relaxed geometry (PBE).

Calculated values
- DOS at the Fermi energy: 0.77 states/eV/atom
- Raw formation energy: -1074 meV/atom
- Crystal system: tetragonal

abc: 3.906 3.906 5.642
angles: 90.00 90.00 90.00
Positions (direct):
Sc (0.000, 0.000, 0.000)
Sc (0.500, 0.500, 0.500)
Au (0.000, 0.000, 0.500)
Se (0.500, 0.500, 0.000)